(1)
## NaPdI (PBE)

Data for an optimized crystal structure of NaPdI.

The raw total energy is -36.8 eV/cell. Its energy relative to the lowest polymorph listed for this composition is 147.7 meV per atom. The total magnetic moment is 0.000 μB/atom. The calculation puts the formation energy from raw total energies at -0.38 eV/atom.

It has space group Immm (No. 71), with a = 4.322 Å, b = 5.440 Å, c = 14.854 Å, α = 90.00°, β = 90.00° and γ = 90.00°. The inequivalent atoms are Na at (0.000, 0.000, 0.120), Pd at (0.000, 0.248, 0.500) and I at (0.000, 0.000, 0.344).



(2)
## LiThPb2 (PBE)

Data for an optimized crystal structure of LiThPb2.

The raw total energy is -17.8 eV/cell. Its energy relative to the lowest polymorph listed for this composition is 15.7 meV per atom. The total magnetic moment is 0.000 μB/atom. Its formation energy is -1.01 eV per formula unit.

It has space group P4/mmm (No. 123), with a = 3.526 Å, b = 3.526 Å, c = 8.608 Å, α = 90.00°, β = 90.00° and γ = 90.00°. The inequivalent atoms are Li at (0.000, 0.000, 0.000), Th at (0.000, 0.000, 0.500) and Pb at (0.500, 0.500, 0.218).



(3)
## Zn2Ag2Ir (PBE)

Data for an optimized crystal structure of Zn2Ag2Ir.

The raw total energy is -32.3 eV/cell. The total magnetic moment is 0.000 μB/atom. Its formation energy is 0.95 eV per formula unit.

It has space group P4/mbm (No. 127), with a = 6.548 Å, b = 6.548 Å, c = 3.802 Å, α = 90.00°, β = 90.00° and γ = 90.00°. The inequivalent atoms are Zn at (0.137, 0.363, 0.000), Ag at (0.171, 0.671, 0.500) and Ir at (0.000, 0.000, 0.000).



(4)
## CsGaSe2 (PBE)

Data for an optimized crystal structure of CsGaSe2.

The raw total energy is -13.4 eV/cell. The total magnetic moment is 0.000 μB/atom. The calculation puts the formation energy from raw total energies at -0.64 eV/atom.

It has space group P3m1 (No. 156), with a = 4.2308 Å, b = 4.2308 Å, c = 8.6166 Å, α = 90.00°, β = 90.00° and γ = 120.00°. The inequivalent atoms are Cs at (0.0000, 0.0000, 0.0000), Ga at (0.3333, 0.6667, 0.4724), Se at (0.3333, 0.6667, 0.7346) and Se at (0.6667, 0.3333, 0.3464).



(5)
## ScIn2Fe (PBE)

Data for an optimized crystal structure of ScIn2Fe.

The raw total energy is -59.5 eV/cell. The total magnetic moment is 0.609 μB/atom. Its formation energy is 0.45 eV per formula unit.

It has space group R-3m (No. 166, hexagonal axes), with a = 3.1991 Å, b = 3.1991 Å, c = 27.8951 Å, α = 90.00°, β = 90.00° and γ = 120.00°. The inequivalent atoms are Sc at (0.0000, 0.0000, 0.0000), In at (0.0000, 0.0000, 0.2424) and Fe at (0.0000, 0.0000, 0.5000).



(6)
## AlNiB3 (PBE)

Data for an optimized crystal structure of AlNiB3.

The raw total energy is -19.6 eV/cell. Its energy relative to the lowest polymorph listed for this composition is 940.0 meV per atom. The total magnetic moment is 0.000 μB/atom. Its formation energy is 9.98 eV per formula unit.

It has space group Pm-3m (No. 221), with a = 4.049 Å, b = 4.049 Å, c = 4.049 Å, α = 90.00°, β = 90.00° and γ = 90.00°. The inequivalent atoms are Al at (0.000, 0.000, 0.000), Ni at (0.500, 0.500, 0.500) and B at (0.000, 0.000, 0.500).